No. 1
DFT (PBE) results for a geometry-optimized Dy2TmGe2Rh5 structure.

a = 9.9372 Å, b = 9.9372 Å, c = 3.6495 Å
α = 90.00°, β = 90.00°, γ = 90.00°
With the nearest neighbours (Å) after each atom.
Space group P4/mbm (No. 127)
Inequivalent atoms, fractional coordinates:
Dy1 0.1733 0.3267 0.0000 (multiplicity 4)  3 Ge 2.85-2.99, 6 Rh 3.04-3.17
Tm1 0.0000 0.0000 0.0000 (multiplicity 2)  8 Rh 2.90
Ge1 0.1236 0.6236 0.0000 (multiplicity 4)  6 Rh 2.49-2.52
Rh1 0.0000 0.5000 0.5000 (multiplicity 2)  4 Ge 2.52
Rh2 0.0695 0.7847 0.5000 (multiplicity 8)  2 Ge 2.49

Summary:
* raw total energy: -136.93 eV for the cell shown
* theoretical density: 10.632 g/cm3
* formation energy: -0.880 eV/atom
* spin magnetization: 0.00 μB per formula unit

No. 2
DFT (PBE) results for a geometry-optimized DyZnGeRh structure.

a = 6.5253 Å, b = 6.5253 Å, c = 6.5253 Å
α = 90.00°, β = 90.00°, γ = 90.00°
With the nearest neighbours (Å) after each atom.
Space group F-43m (No. 216)
Inequivalent atoms, fractional coordinates:
Dy1 0.0000 0.0000 0.0000 (multiplicity 4)  4 Ge 2.83, 4 Zn 2.83
Zn1 0.2500 0.2500 0.7500 (multiplicity 4)  4 Dy 2.83, 4 Rh 2.83
Ge1 0.2500 0.2500 0.2500 (multiplicity 4)  4 Dy 2.83, 4 Rh 2.83
Rh1 0.0000 0.0000 0.5000 (multiplicity 4)  4 Zn 2.83, 4 Ge 2.83

Summary:
* raw total energy: -80.18 eV for the cell shown
* theoretical density: 9.645 g/cm3
* formation energy: -0.550 eV/atom
* spin magnetization: 0.00 μB per formula unit

No. 3
DFT (PBE) results for a geometry-optimized Dy2ZnGe4Rh3 structure.

a = 4.1850 Å, b = 4.1850 Å, c = 10.3301 Å
α = 90.00°, β = 90.00°, γ = 90.00°
With the nearest neighbours (Å) after each atom.
Space group P-4m2 (No. 115)
Inequivalent atoms, fractional coordinates:
Dy1 0.0000 0.5000 0.2427 (multiplicity 2)  6 Rh 3.19-3.38, 8 Ge 3.20-3.27, 2 Zn 3.38
Zn1 0.0000 0.0000 0.5000 (multiplicity 1)  4 Ge 2.54
Ge1 0.0000 0.0000 0.0000 (multiplicity 1)  4 Rh 2.47
Ge2 0.0000 0.5000 0.6399 (multiplicity 2)  3 Rh 2.41-2.54, 2 Zn 2.54
Ge3 0.5000 0.5000 0.0000 (multiplicity 1)  4 Rh 2.47
Rh1 0.0000 0.5000 0.8735 (multiplicity 2)  5 Ge 2.41-2.47
Rh2 0.5000 0.5000 0.5000 (multiplicity 1)  4 Ge 2.54

Summary:
* raw total energy: -58.23 eV for the cell shown
* theoretical density: 9.083 g/cm3
* formation energy: -0.723 eV/atom
* spin magnetization: 0.00 μB per formula unit

Number 1: D(E_F) 10.4 states/eV/cell. Number 2: D(E_F) 5.3 states/eV/cell. Number 3: D(E_F) 5.9 states/eV/cell.